La3GeI3: optimized geometry, PBE.

Cell and atoms, written as CIF:
```
data_La3GeI3
_space_group_name_H-M_alt 'I 41 3 2'
_space_group_IT_number 214
_space_group_name_Hall 'I 4bd 2c 3'
_cell_length_a 12.765
_cell_length_b 12.765
_cell_length_c 12.765
_cell_angle_alpha 90.00
_cell_angle_beta 90.00
_cell_angle_gamma 90.00
loop_
_atom_site_label
_atom_site_fract_x
_atom_site_fract_y
_atom_site_fract_z
La1 0.110 0.360 0.125
Ge1 0.125 0.125 0.125
I1 0.118 0.132 0.625
```

The calculation puts the total magnetization at 0.0 μB per cell. Its uncorrected formation energy is -1.30 eV/atom. As for the calculated volume: 37.147 A^3/atom.

***

La5GeI5: optimized geometry, PBE.

Cell and atoms, written as CIF:
```
data_La5GeI5
_space_group_name_H-M_alt 'C 1 2/m 1'
_space_group_IT_number 12
_cell_length_a 14.060
_cell_length_b 6.361
_cell_length_c 9.307
_cell_angle_alpha 90.00
_cell_angle_beta 108.83
_cell_angle_gamma 90.00
loop_
_space_group_symop_operation_xyz
'x,y,z'
'-x,-y,-z'
'-x,y,-z'
'x,-y,z'
'x+1/2,y+1/2,z'
'-x+1/2,-y+1/2,-z'
'-x+1/2,y+1/2,-z'
'x+1/2,-y+1/2,z'
loop_
_atom_site_label
_atom_site_fract_x
_atom_site_fract_y
_atom_site_fract_z
La1 0.000 0.000 0.000
La2 0.153 0.500 0.294
La3 0.171 0.500 0.872
Ge1 0.000 0.500 0.000
I1 0.000 0.500 0.500
I2 0.145 0.000 0.792
I3 0.169 0.000 0.346
```

The calculation puts the total magnetization at 0.0 μB per cell. Its uncorrected formation energy is -1.15 eV/atom. As for the calculated volume: 35.811 A^3/atom.

***

La7GeI12: optimized geometry, PBE.

Cell and atoms, written as CIF:
```
data_La7GeI12
_space_group_name_H-M_alt 'R -3'
_space_group_IT_number 148
_space_group_name_Hall '-R 3'
_cell_length_a 16.4129
_cell_length_b 16.4129
_cell_length_c 10.9570
_cell_angle_alpha 90.00
_cell_angle_beta 90.00
_cell_angle_gamma 120.00
loop_
_atom_site_label
_atom_site_fract_x
_atom_site_fract_y
_atom_site_fract_z
La1 0.0000 0.0000 0.0000
La2 0.0468 0.1655 0.3460
Ge1 0.0000 0.0000 0.5000
I1 0.0221 0.5876 0.1661
I2 0.0518 0.1847 0.8392
```

The calculation puts the total magnetization at 0.0 μB per cell. Its uncorrected formation energy is -1.40 eV/atom. As for the calculated volume: 42.603 A^3/atom.

***

La4Ge2I: optimized geometry, PBE.

Cell and atoms, written as CIF:
```
data_La4Ge2I
_space_group_name_H-M_alt 'I m m a'
_space_group_IT_number 74
_space_group_name_Hall '-I 2b 2'
_cell_length_a 9.229
_cell_length_b 9.245
_cell_length_c 13.041
_cell_angle_alpha 90.00
_cell_angle_beta 90.00
_cell_angle_gamma 90.00
loop_
_atom_site_label
_atom_site_fract_x
_atom_site_fract_y
_atom_site_fract_z
La1 0.000 0.039 0.231
La2 0.211 0.250 0.019
Ge1 0.000 0.000 0.000
Ge2 0.250 0.250 0.250
I1 0.000 0.250 0.625
```

The calculation puts the total magnetization at 0.0 μB per cell. Its uncorrected formation energy is -0.69 eV/atom. As for the calculated volume: 39.737 A^3/atom.